1.
Here is a relaxed Dy4ZrSc3 crystal from the Alexandria database. Energies are from PBE-GGA.

abc: 10.7163 6.9760 5.9349
angles: 90.00 90.00 90.00
Space group Pmn2_1 (No. 31)
Symmetry-distinct sites (fractional):
1 Dy 0.0000 0.1372 0.0000 x2
2 Dy 0.0000 0.8618 0.4980 x2
3 Dy 0.2469 0.8635 0.8519 x4
4 Zr 0.0000 0.6124 0.0126 x2
5 Sc 0.0000 0.3908 0.5141 x2
6 Sc 0.2493 0.3865 0.8366 x4

Calculated values
ΔH_f (0 K) in kJ/mol of formula units: 30
Density in g cm⁻³: 6.558

---

2.
Here is a relaxed TiTl crystal from the Alexandria database. Energies are from PBE-GGA.

abc: 8.8513 8.8513 4.6460
angles: 90.00 90.00 120.00
Space group P6_3/mmc (No. 194)
Symmetry-distinct sites (fractional):
1 Ti 0.1074 0.5537 0.2500 x6
2 Tl 0.2031 0.4062 0.7500 x6

Calculated values
ΔH_f (0 K) in kJ/mol of formula units: 59
Density in g cm⁻³: 7.973

---

3.
Here is a relaxed TaSb2Ru crystal from the Alexandria database. Energies are from PBE-GGA.

abc: 8.8544 3.1019 5.7701
angles: 90.00 103.58 90.00
Space group C2/m (No. 12)
Symmetry-distinct sites (fractional):
1 Ta 0.0000 0.0000 0.0000 x2
2 Sb 0.2405 0.0000 0.7412 x4
3 Ru 0.0000 0.5000 0.5000 x2

Calculated values
Distance to the lowest polymorph of the same formula in meV/atom: 315.7
Density in g cm⁻³: 11.330